# 1
# BeCr2Au

Crystalline BeCr2Au at its relaxed geometry (PBE-GGA, Alexandria via LeMat-Bulk).

Relative energy among the computed polymorphs: 0.2645 eV per atom
Magnetic moment: 0.0 μB per formula unit
Formation energy from the elements: 0.326 eV/atom
Uncorrected energy: -74.84 eV for the cell shown

Unit cell a=2.8281 b=2.8281 c=22.9868 alpha=90.00 beta=90.00 gamma=120.00
Space group R3m (No. 160, hexagonal axes)
Unique sites:
Be: 0.0000 0.0000 0.0000 (multiplicity 3)
Cr: 0.0000 0.0000 0.2510 (multiplicity 3)
Cr: 0.0000 0.0000 0.5181 (multiplicity 3)
Au: 0.0000 0.0000 0.7474 (multiplicity 3)

***

# 2
# PuURu2

Crystalline PuURu2 at its relaxed geometry (PBE-GGA, Alexandria via LeMat-Bulk).

Magnetic moment: 6.0 μB per formula unit
Formation energy from the elements: -0.172 eV/atom
Uncorrected energy: -44.86 eV for the cell shown

Unit cell a=3.340 b=3.340 c=7.006 alpha=90.00 beta=90.00 gamma=90.00
Space group P4/mmm (No. 123)
Unique sites:
Pu: 0.000 0.000 0.000 (multiplicity 1)
U: 0.000 0.000 0.500 (multiplicity 1)
Ru: 0.500 0.500 0.285 (multiplicity 2)

***

# 3
# MgNbCu

Crystalline MgNbCu at its relaxed geometry (PBE-GGA, Alexandria via LeMat-Bulk).

Relative energy among the computed polymorphs: 0.0945 eV per atom
Magnetic moment: 0.0 μB per formula unit
Formation energy from the elements: 0.138 eV/atom
Uncorrected energy: -61.39 eV for the cell shown

Unit cell a=9.837 b=2.921 c=7.585 alpha=90.00 beta=111.88 gamma=90.00
Space group Cm (No. 8)
Unique sites:
Mg: 0.000 0.000 0.000 (multiplicity 2)
Mg: 0.183 0.500 0.817 (multiplicity 2)
Nb: 0.154 0.500 0.373 (multiplicity 2)
Nb: 0.334 0.000 0.221 (multiplicity 2)
Cu: 0.347 0.000 0.667 (multiplicity 2)
Cu: 0.493 0.500 0.536 (multiplicity 2)

***

# 4
# Be2RhPb

Crystalline Be2RhPb at its relaxed geometry (PBE-GGA, Alexandria via LeMat-Bulk).

Magnetic moment: 0.0 μB per formula unit
Formation energy from the elements: 0.445 eV/atom
Uncorrected energy: -66.93 eV for the cell shown

Unit cell a=6.176 b=6.176 c=6.176 alpha=90.00 beta=90.00 gamma=90.00
Space group F-43m (No. 216)
Unique sites:
Be: 0.000 0.000 0.000 (multiplicity 4)
Be: 0.250 0.250 0.250 (multiplicity 4)
Rh: 0.250 0.250 0.750 (multiplicity 4)
Pb: 0.000 0.000 0.500 (multiplicity 4)

***

# 5
# Zr4VH10

Crystalline Zr4VH10 at its relaxed geometry (PBE-GGA, Alexandria via LeMat-Bulk).

Magnetic moment: 1.1 μB per formula unit
Uncorrected energy: -167.93 eV for the cell shown

Unit cell a=7.609 b=7.609 c=4.474 alpha=90.00 beta=90.00 gamma=90.00
Space group I4/m (No. 87)
Unique sites:
Zr: 0.105 0.703 0.000 (multiplicity 8)
V: 0.000 0.000 0.500 (multiplicity 2)
H: 0.000 0.500 0.250 (multiplicity 4)
H: 0.091 0.187 0.263 (multiplicity 16)

***

# 6
# Mn4Al5Ga

Crystalline Mn4Al5Ga at its relaxed geometry (PBE-GGA, Alexandria via LeMat-Bulk).

Magnetic moment: 8.6 μB per formula unit
Formation energy from the elements: -0.193 eV/atom
Uncorrected energy: -120.69 eV for the cell shown

Unit cell a=13.448 b=3.976 c=6.169 alpha=90.00 beta=117.27 gamma=90.00
Space group C2/m (No. 12)
Unique sites:
Mn: 0.018 0.000 0.270 (multiplicity 4)
Mn: 0.176 0.500 0.426 (multiplicity 4)
Al: 0.000 0.500 0.000 (multiplicity 2)
Al: 0.168 0.000 0.134 (multiplicity 4)
Al: 0.170 0.000 0.706 (multiplicity 4)
Ga: 0.000 0.500 0.500 (multiplicity 2)

***

# 7
# YAgPS2

Crystalline YAgPS2 at its relaxed geometry (PBE-GGA, Alexandria via LeMat-Bulk).

Relative energy among the computed polymorphs: 0.0000 eV per atom
Raw formation energy: -0.23 eV/f.u.
Magnetic moment: 0.0 μB per formula unit
Uncorrected energy: -23.21 eV for the cell shown

Unit cell a=4.820 b=4.820 c=4.736 alpha=90.00 beta=90.00 gamma=90.00
Space group P4/mmm (No. 123)
Unique sites:
Y: 0.000 0.000 0.000 (multiplicity 1)
Ag: 0.500 0.500 0.500 (multiplicity 1)
P: 0.500 0.500 0.000 (multiplicity 1)
S: 0.000 0.500 0.500 (multiplicity 2)

***

# 8
# Cs2CdPd

Crystalline Cs2CdPd at its relaxed geometry (PBE-GGA, Alexandria via LeMat-Bulk).

Relative energy among the computed polymorphs: 0.0696 eV per atom
Magnetic moment: 0.0 μB per formula unit
Formation energy from the elements: -0.043 eV/atom
Uncorrected energy: -31.95 eV for the cell shown

Unit cell a=12.950 b=12.950 c=5.337 alpha=90.00 beta=90.00 gamma=90.00
Space group I-42d (No. 122)
Unique sites:
Cs: 0.080 0.750 0.125 (multiplicity 8)
Cd: 0.000 0.000 0.500 (multiplicity 4)
Pd: 0.000 0.000 0.000 (multiplicity 4)

***

# 9
# Y6InAu5

Crystalline Y6InAu5 at its relaxed geometry (PBE-GGA, Alexandria via LeMat-Bulk).

Magnetic moment: 0.0 μB per formula unit
Formation energy from the elements: -0.790 eV/atom
Uncorrected energy: -134.79 eV for the cell shown

Unit cell a=5.124 b=7.302 c=15.417 alpha=90.00 beta=90.00 gamma=90.00
Space group Immm (No. 71)
Unique sites:
Y: 0.000 0.238 0.000 (multiplicity 4)
Y: 0.000 0.255 0.329 (multiplicity 8)
In: 0.000 0.000 0.500 (multiplicity 2)
Au: 0.000 0.000 0.167 (multiplicity 4)
Au: 0.000 0.500 0.156 (multiplicity 4)
Au: 0.000 0.500 0.500 (multiplicity 2)

***

# 10
# Dy4YEr

Crystalline Dy4YEr at its relaxed geometry (PBE-GGA, Alexandria via LeMat-Bulk).

Relative energy among the computed polymorphs: 0.2266 eV per atom
Magnetic moment: 0.1 μB per formula unit
Formation energy from the elements: 0.247 eV/atom
Uncorrected energy: -111.80 eV for the cell shown

Unit cell a=9.251 b=9.251 c=9.251 alpha=90.00 beta=90.00 gamma=90.00
Space group F-43m (No. 216)
Unique sites:
Dy: 0.125 0.125 0.125 (multiplicity 16)
Y: 0.250 0.250 0.750 (multiplicity 4)
Er: 0.000 0.000 0.500 (multiplicity 4)

***

# 11
# LiLaCeHg

Crystalline LiLaCeHg at its relaxed geometry (PBE-GGA, Alexandria via LeMat-Bulk).

Magnetic moment: 1.6 μB per formula unit
Formation energy from the elements: -0.094 eV/atom
Uncorrected energy: -53.82 eV for the cell shown

Unit cell a=7.675 b=7.675 c=7.675 alpha=90.00 beta=90.00 gamma=90.00
Space group F-43m (No. 216)
Unique sites:
Li: 0.000 0.000 0.000 (multiplicity 4)
La: 0.250 0.250 0.250 (multiplicity 4)
Ce: 0.250 0.250 0.750 (multiplicity 4)
Hg: 0.000 0.000 0.500 (multiplicity 4)

***

# 12
# HoTm8Zr2

Crystalline HoTm8Zr2 at its relaxed geometry (PBE-GGA, Alexandria via LeMat-Bulk).

Magnetic moment: 0.0 μB per formula unit
Formation energy from the elements: 0.213 eV/atom
Uncorrected energy: -110.20 eV for the cell shown

Unit cell a=8.735 b=15.523 c=5.718 alpha=90.00 beta=124.25 gamma=90.00
Space group C2/m (No. 12)
Unique sites:
Ho: 0.000 0.000 0.000 (multiplicity 2)
Tm: 0.000 0.210 0.000 (multiplicity 4)
Tm: 0.070 0.500 0.793 (multiplicity 4)
Tm: 0.220 0.124 0.676 (multiplicity 8)
Zr: 0.000 0.309 0.500 (multiplicity 4)

***

Repeat the eleventh record exactly.
# LiLaCeHg

Crystalline LiLaCeHg at its relaxed geometry (PBE-GGA, Alexandria via LeMat-Bulk).

Magnetic moment: 1.6 μB per formula unit
Formation energy from the elements: -0.094 eV/atom
Uncorrected energy: -53.82 eV for the cell shown

Unit cell a=7.675 b=7.675 c=7.675 alpha=90.00 beta=90.00 gamma=90.00
Space group F-43m (No. 216)
Unique sites:
Li: 0.000 0.000 0.000 (multiplicity 4)
La: 0.250 0.250 0.250 (multiplicity 4)
Ce: 0.250 0.250 0.750 (multiplicity 4)
Hg: 0.000 0.000 0.500 (multiplicity 4)

***

- What is the magnetic moment in the third record?
  0.0 μB per formula unit

***

- The highest magnetic moment belongs to which entry?
  Mn4Al5Ga

***

Please write out number 8 again, unchanged.
# Cs2CdPd

Crystalline Cs2CdPd at its relaxed geometry (PBE-GGA, Alexandria via LeMat-Bulk).

Relative energy among the computed polymorphs: 0.0696 eV per atom
Magnetic moment: 0.0 μB per formula unit
Formation energy from the elements: -0.043 eV/atom
Uncorrected energy: -31.95 eV for the cell shown

Unit cell a=12.950 b=12.950 c=5.337 alpha=90.00 beta=90.00 gamma=90.00
Space group I-42d (No. 122)
Unique sites:
Cs: 0.080 0.750 0.125 (multiplicity 8)
Cd: 0.000 0.000 0.500 (multiplicity 4)
Pd: 0.000 0.000 0.000 (multiplicity 4)